This record from Alexandria via LeMat-Bulk describes a geometry-optimized NiAsSe2O structure. The functional is PBE with a Hubbard U.

The structure belongs to space group P4/mmm (No. 123); the cell edges are 4.641, 4.641 and 4.502 Å and the angles 90.00°, 90.00° and 90.00°. Symmetry generates all atoms from Ni at (0.000, 0.000, 0.000), As at (0.000, 0.000, 0.500), Se at (0.000, 0.500, 0.000) and O at (0.500, 0.500, 0.500).

The energy is -2.810 eV per atom. The distance to the lowest polymorph of the same formula is 0.1862 eV per atom.